# CaCdBiIr2 | Alexandria | PBE | relaxed
data_CaCdBiIr2
_chemical_formula_sum 'Ca1 Cd1 Bi1 Ir2'
_space_group_name_H-M_alt 'P 4/m m m'
_space_group_IT_number 123
_space_group_name_Hall '-P 4 2'
_cell_length_a 5.098
_cell_length_b 5.098
_cell_length_c 5.410
_cell_angle_alpha 90.00
_cell_angle_beta 90.00
_cell_angle_gamma 90.00
loop_
_atom_site_label
_atom_site_fract_x
_atom_site_fract_y
_atom_site_fract_z
Ca1 0.000 0.000 0.000
Cd1 0.500 0.500 0.000
Bi1 0.500 0.500 0.500
Ir1 0.000 0.500 0.500
# - magnetization (μB per formula unit) = 0.86
# - energy of formation from the pure elements (kJ/mol of atoms) = 86.68